HPdI3 | PBE | relaxed

Summary:
E above lowest polymorph	0.000	eV/atom
mass density	4.00	g/cm³
calculated total energy	-2.75	eV/atom
magnetization	0.00	μB per formula unit
symmetry	P-1 (2)

abc: 5.219 7.761 10.489
angles: 81.74 81.72 76.32
Positions (direct):
H  0.123  0.366  0.332
H  0.877  0.634  0.668
Pd  0.005  0.749  0.999
Pd  0.995  0.251  0.001
I  0.198  0.001  0.849
I  0.205  0.494  0.848
I  0.327  0.258  0.438
I  0.673  0.742  0.562
I  0.795  0.506  0.152
I  0.802  0.999  0.151